Record 1
# KFe2Tc PBE-GGA relaxed
# - Density of states at the Fermi level: 14.6 states/eV per cell
# - Energy of formation: 1087 meV/atom
# - Final energy: -6.0100 eV per atom
data_KFe2Tc
_space_group_name_H-M_alt 'P 1'
_space_group_IT_number 1
_space_group_name_Hall 'P 1'
_cell_length_a 2.6121
_cell_length_b 5.2251
_cell_length_c 10.1863
_cell_angle_alpha 90.00
_cell_angle_beta 90.00
_cell_angle_gamma 90.00
loop_
_atom_site_label
_atom_site_fract_x
_atom_site_fract_y
_atom_site_fract_z
K1 0.0000 0.0000 0.0000
K2 0.5000 0.5000 0.5000
Fe1 0.0000 0.0000 0.5106
Fe2 0.0000 0.5000 0.2102
Fe3 0.5000 0.0000 0.7102
Fe4 0.5000 0.5000 0.0106
Tc1 0.0000 0.5000 0.7970
Tc2 0.5000 0.0000 0.2970

Record 2
# K2FeTc PBE-GGA relaxed
# - Density of states at the Fermi level: 10.3 states/eV per cell
# - Energy of formation: 1501 meV/atom
# - Final energy: -3.7553 eV per atom
data_K2FeTc
_space_group_name_H-M_alt 'P 1'
_space_group_IT_number 1
_space_group_name_Hall 'P 1'
_cell_length_a 3.9034
_cell_length_b 3.9034
_cell_length_c 11.4943
_cell_angle_alpha 90.00
_cell_angle_beta 90.00
_cell_angle_gamma 90.00
loop_
_atom_site_label
_atom_site_fract_x
_atom_site_fract_y
_atom_site_fract_z
K1 0.0000 0.5000 0.2500
K2 0.0000 0.5000 0.7500
K3 0.5000 0.0000 0.2500
K4 0.5000 0.0000 0.7500
Fe1 0.0000 0.0000 0.0000
Fe2 0.5000 0.5000 0.5000
Tc1 0.0000 0.0000 0.5000
Tc2 0.5000 0.5000 0.0000

Record 3
# KFe3Tc PBE-GGA relaxed
# - Density of states at the Fermi level: 6.0 states/eV per cell
# - Energy of formation: 1309 meV/atom
# - Final energy: -6.0610 eV per atom
data_KFe3Tc
_space_group_name_H-M_alt 'P 1'
_space_group_IT_number 1
_space_group_name_Hall 'P 1'
_cell_length_a 4.7123
_cell_length_b 4.7123
_cell_length_c 4.7123
_cell_angle_alpha 90.00
_cell_angle_beta 90.00
_cell_angle_gamma 90.00
loop_
_atom_site_label
_atom_site_fract_x
_atom_site_fract_y
_atom_site_fract_z
K1 0.0000 0.0000 0.0000
Fe1 0.0000 0.5000 0.5000
Fe2 0.5000 0.0000 0.5000
Fe3 0.5000 0.5000 0.0000
Tc1 0.5000 0.5000 0.5000

Record 4
# KFeTc2 PBE-GGA relaxed
# - Density of states at the Fermi level: 9.9 states/eV per cell
# - Energy of formation: 859 meV/atom
# - Final energy: -6.7138 eV per atom
data_KFeTc2
_space_group_name_H-M_alt 'P 1'
_space_group_IT_number 1
_space_group_name_Hall 'P 1'
_cell_length_a 8.7375
_cell_length_b 2.6739
_cell_length_c 7.1952
_cell_angle_alpha 90.00
_cell_angle_beta 91.70
_cell_angle_gamma 90.00
loop_
_atom_site_label
_atom_site_fract_x
_atom_site_fract_y
_atom_site_fract_z
K1 0.0000 0.0000 0.0000
K2 0.5000 0.5000 0.0000
Fe1 0.2589 0.5000 0.3485
Fe2 0.7589 0.0000 0.3485
Tc1 0.2413 0.0000 0.6410
Tc2 0.4905 0.0000 0.5029
Tc3 0.7413 0.5000 0.6410
Tc4 0.9905 0.5000 0.5029

Record 5
# KFeTc3 PBE-GGA relaxed
# - Density of states at the Fermi level: 11.5 states/eV per cell
# - Energy of formation: 3404 meV/atom
# - Final energy: -4.7273 eV per atom
data_KFeTc3
_space_group_name_H-M_alt 'P 1'
_space_group_IT_number 1
_space_group_name_Hall 'P 1'
_cell_length_a 4.3860
_cell_length_b 4.3860
_cell_length_c 4.3860
_cell_angle_alpha 90.00
_cell_angle_beta 90.00
_cell_angle_gamma 90.00
loop_
_atom_site_label
_atom_site_fract_x
_atom_site_fract_y
_atom_site_fract_z
K1 0.0000 0.0000 0.0000
Fe1 0.5000 0.5000 0.5000
Tc1 0.0000 0.0000 0.5000
Tc2 0.0000 0.5000 0.0000
Tc3 0.5000 0.0000 0.0000

Record 6
# KFeTc2 PBE-GGA relaxed
# - Density of states at the Fermi level: 27.8 states/eV per cell
# - Energy of formation: 1498 meV/atom
# - Final energy: -6.0750 eV per atom
data_KFeTc2
_space_group_name_H-M_alt 'P 1'
_space_group_IT_number 1
_space_group_name_Hall 'P 1'
_cell_length_a 7.2840
_cell_length_b 7.2840
_cell_length_c 5.6239
_cell_angle_alpha 90.00
_cell_angle_beta 90.00
_cell_angle_gamma 90.00
loop_
_atom_site_label
_atom_site_fract_x
_atom_site_fract_y
_atom_site_fract_z
K1 0.0000 0.0000 0.0000
K2 0.0000 0.5000 0.2500
K3 0.5000 0.0000 0.7500
K4 0.5000 0.5000 0.5000
Fe1 0.0000 0.0000 0.5000
Fe2 0.0000 0.5000 0.7500
Fe3 0.5000 0.0000 0.2500
Fe4 0.5000 0.5000 0.0000
Tc1 0.1698 0.2500 0.6250
Tc2 0.2500 0.6698 0.8750
Tc3 0.2500 0.8302 0.3750
Tc4 0.3302 0.2500 0.1250
Tc5 0.6698 0.7500 0.1250
Tc6 0.7500 0.1698 0.3750
Tc7 0.7500 0.3302 0.8750
Tc8 0.8302 0.7500 0.6250

Q: Which value of density of states at the Fermi level does entry 4 give?
A: 9.9 states/eV per cell